Here is crystalline RbYMg6O8 at its relaxed geometry from Alexandria. Energies are from PBE-GGA.

Results
crystal system	tetragonal
raw formation energy	-2.222	eV/atom
magnetization	0.00	μB/f.u.
V	12.29	Å³/atom
ρ	3.79	g cm⁻³
DOS(E_F)	0.144	states/eV per atom
energy relative to the lowest polymorph listed for this composition	0.080	eV per atom

Cell: 4.6247 4.6247 9.1908 Å, 90.00 90.00 90.00°
Last column: nearest neighbours and their distance in Å.
Fractional coordinates of all 16 atoms:
Rb: 0.0000 0.0000 0.0000  6 O 2.31-2.46
Y: 0.0000 0.0000 0.5000  6 O 2.14-2.31
Mg: 0.0000 0.5000 0.2315  5 O 2.13-2.34
Mg: 0.0000 0.5000 0.7685  5 O 2.13-2.34
Mg: 0.5000 0.0000 0.2315  5 O 2.13-2.34
Mg: 0.5000 0.0000 0.7685  5 O 2.13-2.34
Mg: 0.5000 0.5000 0.0000  6 O 2.30-2.31
Mg: 0.5000 0.5000 0.5000  6 O 2.30-2.31
O: 0.0000 0.0000 0.2674  1 Y 2.14, 4 Mg 2.34
O: 0.0000 0.0000 0.7326  1 Y 2.14, 4 Mg 2.34
O: 0.0000 0.5000 0.0000  4 Mg 2.13-2.31, 2 Rb 2.31
O: 0.0000 0.5000 0.5000  4 Mg 2.31-2.47, 2 Y 2.31
O: 0.5000 0.0000 0.0000  4 Mg 2.13-2.31, 2 Rb 2.31
O: 0.5000 0.0000 0.5000  4 Mg 2.31-2.47, 2 Y 2.31
O: 0.5000 0.5000 0.2503  6 Mg 2.30-2.32
O: 0.5000 0.5000 0.7497  6 Mg 2.30-2.32